No. 1
Here is a geometry-optimized Ac2NdDyTm structure from Alexandria. Energies are from PBE-GGA.

Cell: 6.6737 9.0037 6.4393 Å, 90.00 90.00 90.00°
Closest atoms and distances in Å follow each position.
Fractional positions:
Nd  0.5802  0.0000  0.2500  2 Tm 3.23, 2 Ac 3.31, 2 Nd 3.39
Ac  0.2861  0.7033  0.2500  1 Nd 3.31, 1 Dy 3.65, 2 Tm 3.66, 1 Ac 3.66
Nd  0.4198  0.0000  0.7500  2 Tm 3.23, 2 Ac 3.31, 2 Nd 3.39
Tm  0.0000  0.0000  0.5000  2 Tm 3.22, 2 Nd 3.23
Dy  0.8136  0.5000  0.2500  8 Ac 3.65-3.97, 2 Dy 4.07
Ac  0.2861  0.2967  0.2500  1 Nd 3.31, 1 Dy 3.65, 2 Tm 3.66, 1 Ac 3.66
Ac  0.7139  0.7033  0.7500  1 Nd 3.31, 1 Dy 3.65, 2 Tm 3.66, 1 Ac 3.66
Tm  0.0000  0.0000  0.0000  2 Tm 3.22, 2 Nd 3.23
Ac  0.7139  0.2967  0.7500  1 Nd 3.31, 1 Dy 3.65, 2 Tm 3.66, 1 Ac 3.66
Dy  0.1864  0.5000  0.7500  8 Ac 3.65-3.97, 2 Dy 4.07

Computed properties:
Formation enthalpy at 0 K = 0.27 eV/atom
Space group = Pmma, No. 51
Theoretical density = 8.0 Mg/m³

No. 2
Here is a geometry-optimized ReTcHW2 structure from Alexandria. Energies are from PBE-GGA.

Cell: 4.0287 4.0287 3.9481 Å, 90.00 90.00 90.00°
Closest atoms and distances in Å follow each position.
Fractional positions:
H  0.0000  0.0000  0.0000  2 Tc 1.97, 4 W 2.01
W  0.0000  0.5000  0.0000  2 H 2.01
Tc  0.0000  0.0000  0.5000  2 H 1.97
Re  0.5000  0.5000  0.5000  8 W 2.82, 4 Tc 2.85
W  0.5000  0.0000  0.0000  2 H 2.01

Computed properties:
Space group = P4/mmm, No. 123
ΔE to the lowest computed polymorph = 0.000 eV/atom
Theoretical density = 16.9 Mg/m³

No. 3
Here is a geometry-optimized Ta4TcAu structure from Alexandria. Energies are from PBE-GGA.

Cell: 5.3598 5.3598 5.3598 Å, 60.00 60.00 60.00°
Closest atoms and distances in Å follow each position.
Fractional positions:
Ta  0.8706  0.3765  0.3765  6 Ta 2.65-2.71
Au  0.0000  0.0000  0.0000  12 Ta 3.15, 4 Tc 3.28
Ta  0.3765  0.8706  0.3765  6 Ta 2.65-2.71
Tc  0.7500  0.7500  0.7500  12 Ta 3.14, 4 Au 3.28
Ta  0.3765  0.3765  0.8706  6 Ta 2.65-2.71
Ta  0.3765  0.3765  0.3765  6 Ta 2.65-2.71

Computed properties:
Formation enthalpy at 0 K = 0.38 eV/atom
Space group = F-43m, No. 216
Theoretical density = 15.5 Mg/m³

No. 4
Here is a geometry-optimized Tl2ZnAu2 structure from Alexandria. Energies are from PBE-GGA.

Cell: 3.8739 3.8739 8.7744 Å, 77.25 77.25 90.00°
Closest atoms and distances in Å follow each position.
Fractional positions:
Tl  0.3972  0.3972  0.2055  4 Au 3.13, 4 Zn 3.23, 1 Tl 3.43
Au  0.2500  0.7500  0.5000  4 Au 2.74
Zn  0.0000  0.0000  0.0000  8 Tl 3.23
Au  0.7500  0.2500  0.5000  4 Au 2.74
Tl  0.6028  0.6028  0.7945  4 Au 3.13, 4 Zn 3.23, 1 Tl 3.43

Computed properties:
Formation enthalpy at 0 K = 0.12 eV/atom
Space group = I4/mmm, No. 139
ΔE to the lowest computed polymorph = 0.151 eV/atom
Theoretical density = 11.5 Mg/m³

No. 5
Here is a geometry-optimized CuSiRh2 structure from Alexandria. Energies are from PBE-GGA.

Cell: 3.9424 2.8166 4.9451 Å, 73.34 90.00 90.00°
Closest atoms and distances in Å follow each position.
Fractional positions:
Cu  0.5000  0.5510  0.7724  2 Si 2.43, 7 Rh 2.54-2.61
Rh  0.0000  0.9627  0.9474  3 Si 2.48-2.66, 4 Cu 2.56
Si  0.0000  0.7022  0.4713  2 Cu 2.43, 7 Rh 2.48-2.66
Rh  0.5000  0.2841  0.3089  3 Cu 2.54-2.61, 4 Si 2.54, 2 Rh 2.82

Computed properties:
Raw formation energy = -8.27 kcal/mol of atoms
Space group = Pm, No. 6
Theoretical density = 9.4 Mg/m³

No. 6
Here is a geometry-optimized Sr2CF structure from Alexandria. Energies are from PBE-GGA.

Cell: 5.7910 5.7910 7.3781 Å, 66.89 66.89 90.00°
Closest atoms and distances in Å follow each position.
Fractional positions:
F  0.7500  0.2500  0.5000  4 Sr 2.55
Sr  0.3750  0.3712  0.7500  2 F 2.55, 2 C 2.57
Sr  0.1212  0.6250  0.2500  2 F 2.55, 2 C 2.57
C  0.2500  0.7500  0.5000  4 Sr 2.57
F  0.0000  0.0000  0.0000  4 Sr 2.55
Sr  0.6288  0.1250  0.2500  2 F 2.55, 2 C 2.57
C  0.5000  0.5000  0.0000  4 Sr 2.57
Sr  0.8750  0.8788  0.7500  2 F 2.55, 2 C 2.57

Computed properties:
Raw formation energy = -20.02 kcal/mol of atoms
Space group = I-42d, No. 122
ΔE to the lowest computed polymorph = 0.000 eV/atom
Theoretical density = 3.3 Mg/m³

Q: What is the theoretical density in the fourth record?
A: 11.5 Mg/m³

Q: Look up the theoretical density of the third one.
A: 15.5 Mg/m³

Q: Which of these has the lowest theoretical density?
A: Sr2CF

Q: The highest theoretical density belongs to which entry?
A: ReTcHW2